Record 1
The following is a DFT calculation (PBE) of a geometry-optimized NiSn2RuAu structure.

The structure in extended XYZ format:
```
5
Lattice="-4.1179 -1.1386 2.0516 2.1988 -3.3193 2.5710 0.8323 3.2369 3.4671" Properties=species:S:1:pos:R:3 pbc="T T T"
Ru -0.5434 -0.6106 4.0449
Au 0.4162 1.6184 1.7336
Sn 1.0994 -1.6597 1.2855
Sn -2.0590 -0.5693 1.0258
Ni 0.0000 0.0000 0.0000
```

Values from the calculation:
ΔE_f: 0.7309 eV per atom
total moment: 1.99 μB/f.u.
space-group type: P4/mmm (123)

Record 2
The following is a DFT calculation (PBE) of a geometry-optimized TaNiRuAu structure.

The structure in extended XYZ format:
```
4
Lattice="-3.3236 -1.6035 2.4251 -1.2593 -4.2043 -0.4857 0.8156 -2.9327 3.1988" Properties=species:S:1:pos:R:3 pbc="T T T"
Ni -2.8255 -6.5553 3.8536
Ru -0.9418 -2.1851 1.2845
Au 0.0000 0.0000 0.0000
Ta -1.8836 -4.3702 2.5691
```

Values from the calculation:
ΔE_f: -0.0453 eV per atom
total moment: 0.00 μB/f.u.
space-group type: F-43m (216)

Record 3
The following is a DFT calculation (PBE) of a geometry-optimized NiRu2WAu structure.

The structure in extended XYZ format:
```
5
Lattice="-0.2044 -3.9953 2.3293 3.6317 -1.8953 -2.9322 3.2017 1.5602 2.9570" Properties=species:S:1:pos:R:3 pbc="T T T"
Ru 1.6009 0.7801 1.4785
Ru -0.1022 -1.9976 1.1647
Au 1.8159 -0.9476 -1.4661
W 0.0000 0.0000 0.0000
Ni 3.3145 -2.1652 1.1771
```

Values from the calculation:
ΔE_f: 1.7890 eV per atom
total moment: 1.58 μB/f.u.
space-group type: P4/mmm (123)

Record 4
The following is a DFT calculation (PBE) of a geometry-optimized NiAuS3 structure.

The structure in extended XYZ format:
```
5
Lattice="4.4411 0.0000 0.0000 0.0000 4.4411 0.0000 0.0000 0.0000 4.4411" Properties=species:S:1:pos:R:3 pbc="T T T"
Ni 0.0000 0.0000 0.0000
S 0.0000 2.2205 0.0000
S 0.0000 0.0000 2.2205
S 2.2205 0.0000 0.0000
Au 2.2205 2.2205 2.2205
```

Values from the calculation:
E above lowest polymorph: 0.00 eV/f.u.
ΔE_f (raw): 0.647 eV per atom
total moment: 0.00 μB/f.u.
space-group type: Pm-3m (221)

Record 5
The following is a DFT calculation (PBE) of a geometry-optimized NiAu2S6 structure.

The structure in extended XYZ format:
```
9
Lattice="5.7513 -1.4419 -0.8339 -1.0660 5.8055 -1.8092 -1.0662 1.3285 5.9345" Properties=species:S:1:pos:R:3 pbc="T T T"
Ni 3.6191 5.6920 3.2913
Au 1.8096 2.1073 2.9227
Au 1.8096 3.5848 0.3683
S 3.3354 5.2458 0.9923
S 3.3352 3.4770 4.0514
S 3.8569 1.7067 0.9868
S 0.2839 2.2150 -0.7600
S 0.2838 0.4462 2.2990
S -0.2377 3.9853 2.3045
```

Values from the calculation:
ΔE_f (raw): 0.250 eV per atom
total moment: 0.00 μB/f.u.
space-group type: C2/m (12)

Record 6
The following is a DFT calculation (PBE) of a geometry-optimized Ni3AuS structure.

The structure in extended XYZ format:
```
5
Lattice="-1.7870 -1.7180 3.3112 1.3834 -3.7149 -1.1810 3.4644 0.5972 2.1795" Properties=species:S:1:pos:R:3 pbc="T T T"
Ni 0.6917 -1.8575 -0.5905
Ni 1.7322 0.2986 1.0898
Ni -0.8935 -0.8590 1.6556
S 0.0000 0.0000 0.0000
Au 1.5304 -2.4179 2.1549
```

Values from the calculation:
E above lowest polymorph: 0.00 eV/f.u.
ΔE_f (raw): 0.003 eV per atom
total moment: 0.00 μB/f.u.
space-group type: Pm-3m (221)